w.
# ZrMnIN2 (PBE, relaxed)
data_ZrMnIN2
_chemical_formula_sum 'Zr1 Mn1 I1 N2'
_space_group_name_H-M_alt 'P 1'
_space_group_IT_number 1
_space_group_name_Hall 'P 1'
_cell_length_a 4.193
_cell_length_b 4.193
_cell_length_c 6.018
_cell_angle_alpha 90.00
_cell_angle_beta 90.00
_cell_angle_gamma 90.00
loop_
_atom_site_label
_atom_site_type_symbol
_atom_site_fract_x
_atom_site_fract_y
_atom_site_fract_z
Zr1 Zr 0.000 0.000 0.000
Mn1 Mn 0.500 0.500 0.500
I1 I 0.000 0.000 0.500
N1 N 0.000 0.500 0.000
N2 N 0.500 0.000 0.000
# Space group: P4/mmm (123)

x.
# ZrMnIN2 (PBE, relaxed)
data_ZrMnIN2
_chemical_formula_sum 'Zr1 Mn1 I1 N2'
_space_group_name_H-M_alt 'P 1'
_space_group_IT_number 1
_space_group_name_Hall 'P 1'
_cell_length_a 3.902
_cell_length_b 3.902
_cell_length_c 5.006
_cell_angle_alpha 90.00
_cell_angle_beta 90.00
_cell_angle_gamma 90.00
loop_
_atom_site_label
_atom_site_type_symbol
_atom_site_fract_x
_atom_site_fract_y
_atom_site_fract_z
Zr1 Zr 0.000 0.000 0.000
Mn1 Mn 0.500 0.500 0.500
I1 I 0.500 0.500 0.000
N1 N 0.000 0.500 0.500
N2 N 0.500 0.000 0.500
# Space group: P4/mmm (123)

Which of them is the most stable, and which is the least stable? w and x, in that order.

w.
# NaMnI4 (PBE, relaxed)
data_NaMnI4
_chemical_formula_sum 'Na2 Mn2 I8'
_space_group_name_H-M_alt 'P 1'
_space_group_IT_number 1
_space_group_name_Hall 'P 1'
_cell_length_a 11.146
_cell_length_b 11.146
_cell_length_c 8.552
_cell_angle_alpha 106.48
_cell_angle_beta 106.48
_cell_angle_gamma 31.25
loop_
_atom_site_label
_atom_site_type_symbol
_atom_site_fract_x
_atom_site_fract_y
_atom_site_fract_z
Na1 Na 0.244 0.244 0.235
Na2 Na 0.756 0.756 0.765
Mn1 Mn 0.409 0.409 0.830
Mn2 Mn 0.591 0.591 0.170
I1 I 0.095 0.095 0.173
I2 I 0.286 0.286 0.866
I3 I 0.379 0.379 0.506
I4 I 0.462 0.462 0.161
I5 I 0.538 0.538 0.839
I6 I 0.621 0.621 0.494
I7 I 0.714 0.714 0.134
I8 I 0.905 0.905 0.827
# Space group: C2/m (12)

x.
# NaMnI4 (PBE, relaxed)
data_NaMnI4
_chemical_formula_sum 'Na1 Mn1 I4'
_space_group_name_H-M_alt 'P 1'
_space_group_IT_number 1
_space_group_name_Hall 'P 1'
_cell_length_a 8.019
_cell_length_b 8.019
_cell_length_c 7.748
_cell_angle_alpha 113.38
_cell_angle_beta 113.38
_cell_angle_gamma 30.62
loop_
_atom_site_label
_atom_site_type_symbol
_atom_site_fract_x
_atom_site_fract_y
_atom_site_fract_z
Na1 Na 0.000 0.000 0.000
Mn1 Mn 0.500 0.500 0.500
I1 I 0.116 0.116 0.742
I2 I 0.386 0.386 0.681
I3 I 0.614 0.614 0.319
I4 I 0.884 0.884 0.258
# Space group: C2/m (12)

Which of them is the most stable, and which is the least stable? x and w, in that order.

w.
# Na2MnI4 (PBE, relaxed)
data_Na2MnI4
_chemical_formula_sum 'Na4 Mn2 I8'
_space_group_name_H-M_alt 'P 1'
_space_group_IT_number 1
_space_group_name_Hall 'P 1'
_cell_length_a 7.675
_cell_length_b 8.331
_cell_length_c 8.782
_cell_angle_alpha 90.00
_cell_angle_beta 106.13
_cell_angle_gamma 90.00
loop_
_atom_site_label
_atom_site_type_symbol
_atom_site_fract_x
_atom_site_fract_y
_atom_site_fract_z
Na1 Na 0.202 0.250 0.050
Na2 Na 0.221 0.250 0.554
Na3 Na 0.779 0.750 0.446
Na4 Na 0.798 0.750 0.950
Mn1 Mn 0.259 0.750 0.315
Mn2 Mn 0.741 0.250 0.685
I1 I 0.016 0.503 0.253
I2 I 0.016 0.997 0.253
I3 I 0.457 0.750 0.617
I4 I 0.468 0.750 0.117
I5 I 0.532 0.250 0.883
I6 I 0.543 0.250 0.383
I7 I 0.984 0.003 0.747
I8 I 0.984 0.497 0.747
# Space group: P2_1/m (11)

x.
# Na2MnI4 (PBE, relaxed)
data_Na2MnI4
_chemical_formula_sum 'Na2 Mn1 I4'
_space_group_name_H-M_alt 'P 1'
_space_group_IT_number 1
_space_group_name_Hall 'P 1'
_cell_length_a 8.017
_cell_length_b 8.017
_cell_length_c 8.017
_cell_angle_alpha 124.64
_cell_angle_beta 124.64
_cell_angle_gamma 82.13
loop_
_atom_site_label
_atom_site_type_symbol
_atom_site_fract_x
_atom_site_fract_y
_atom_site_fract_z
Na1 Na 0.250 0.750 0.500
Na2 Na 0.750 0.250 0.500
Mn1 Mn 0.000 0.000 0.000
I1 I 0.105 0.105 0.441
I2 I 0.336 0.895 0.000
I3 I 0.664 0.664 0.559
I4 I 0.895 0.336 0.000
# Space group: I-42m (121)

y.
# Na2MnI4 (PBE, relaxed)
data_Na2MnI4
_chemical_formula_sum 'Na2 Mn1 I4'
_space_group_name_H-M_alt 'P 1'
_space_group_IT_number 1
_space_group_name_Hall 'P 1'
_cell_length_a 8.949
_cell_length_b 8.949
_cell_length_c 8.949
_cell_angle_alpha 141.99
_cell_angle_beta 141.99
_cell_angle_gamma 54.85
loop_
_atom_site_label
_atom_site_type_symbol
_atom_site_fract_x
_atom_site_fract_y
_atom_site_fract_z
Na1 Na 0.130 0.130 0.000
Na2 Na 0.870 0.870 0.000
Mn1 Mn 0.500 0.500 0.000
I1 I 0.000 0.500 0.500
I2 I 0.323 0.323 0.000
I3 I 0.500 0.000 0.500
I4 I 0.677 0.677 0.000
# Space group: I4/mmm (139)

Which of them is the most stable, and which is the least stable? x and y, in that order.

w.
# Na2MnI (PBE, relaxed)
data_Na2MnI
_chemical_formula_sum 'Na4 Mn2 I2'
_space_group_name_H-M_alt 'P 1'
_space_group_IT_number 1
_space_group_name_Hall 'P 1'
_cell_length_a 7.109
_cell_length_b 7.109
_cell_length_c 7.109
_cell_angle_alpha 105.51
_cell_angle_beta 105.51
_cell_angle_gamma 117.73
loop_
_atom_site_label
_atom_site_type_symbol
_atom_site_fract_x
_atom_site_fract_y
_atom_site_fract_z
Na1 Na 0.112 0.625 0.987
Na2 Na 0.375 0.362 0.487
Na3 Na 0.638 0.125 0.013
Na4 Na 0.875 0.888 0.513
Mn1 Mn 0.250 0.750 0.500
Mn2 Mn 0.500 0.500 0.000
I1 I 0.000 0.000 0.000
I2 I 0.750 0.250 0.500
# Space group: I-42d (122)

x.
# Na2MnI (PBE, relaxed)
data_Na2MnI
_chemical_formula_sum 'Na2 Mn1 I1'
_space_group_name_H-M_alt 'P 1'
_space_group_IT_number 1
_space_group_name_Hall 'P 1'
_cell_length_a 5.618
_cell_length_b 5.618
_cell_length_c 5.618
_cell_angle_alpha 60.00
_cell_angle_beta 60.00
_cell_angle_gamma 60.00
loop_
_atom_site_label
_atom_site_type_symbol
_atom_site_fract_x
_atom_site_fract_y
_atom_site_fract_z
Na1 Na 0.250 0.250 0.250
Na2 Na 0.750 0.750 0.750
Mn1 Mn 0.000 0.000 0.000
I1 I 0.500 0.500 0.500
# Space group: Fm-3m (225)

Which of them is the most stable, and which is the least stable? w and x, in that order.